[1]
DFT (PBE) results for crystalline Rb2GeBr6F at its relaxed geometry.

a b c (Å): 7.2644 7.2644 7.8163
angles (deg): 62.31 62.31 90.00
With the nearest neighbours (Å) after each atom.
Atoms (fractional coordinates):
1 F 0.5000 0.5000 0.0000  4 Br 2.62
2 Br 0.7809 0.7809 0.4381  1 Ge 2.58
3 Br 0.2191 0.2191 0.5619  1 Ge 2.58
4 Br 0.7550 0.2450 0.0000  1 Ge 2.52, 1 F 2.62
5 Rb 0.2500 0.7500 0.5000  12 Br 3.65-3.91
6 Br 0.7550 0.7550 0.0000  1 Ge 2.52, 1 F 2.62
7 Br 0.2450 0.7550 0.0000  1 Ge 2.52, 1 F 2.62
8 Rb 0.7500 0.2500 0.5000  12 Br 3.65-3.91
9 Ge 0.0000 0.0000 0.0000  6 Br 2.52-2.58
10 Br 0.2450 0.2450 0.0000  1 Ge 2.52, 1 F 2.62

Calculated values
Spin magnetization in μB/atom: 0.077
Formation energy without anion corrections in kJ per mole of atoms: -94
DOS(E_F) in states/eV per atom: 0.647
Volume in Å³ per atom: 31.1
Calculated density in Mg/m³: 3.963

[2]
DFT (PBE) results for crystalline GeRhBr2F at its relaxed geometry.

a b c (Å): 5.1866 4.8503 5.1866
angles (deg): 90.00 90.00 90.00
With the nearest neighbours (Å) after each atom.
Atoms (fractional coordinates):
1 Rh 0.0000 0.5000 0.0000  2 Ge 2.43
2 Br 0.0000 0.0000 0.5000  2 Ge 2.59
3 F 0.5000 0.5000 0.5000  8 Br 3.55, 4 Rh 3.67
4 Ge 0.0000 0.0000 0.0000  2 Rh 2.43, 4 Br 2.59
5 Br 0.5000 0.0000 0.0000  2 Ge 2.59

Calculated values
Spin magnetization in μB/atom: 0.127
Formation energy without anion corrections in kJ per mole of atoms: 28
DOS(E_F) in states/eV per atom: 1.515
Volume in Å³ per atom: 26.1
Calculated density in Mg/m³: 4.510

[3]
DFT (PBE) results for crystalline GeSeBr2F at its relaxed geometry.

a b c (Å): 5.1328 5.1328 5.2929
angles (deg): 90.00 90.00 90.00
With the nearest neighbours (Å) after each atom.
Atoms (fractional coordinates):
1 Br 0.0000 0.5000 0.0000  2 Ge 2.57
2 F 0.5000 0.5000 0.5000  4 Se 3.63, 8 Br 3.69
3 Br 0.5000 0.0000 0.0000  2 Ge 2.57
4 Se 0.0000 0.0000 0.5000  2 Ge 2.65
5 Ge 0.0000 0.0000 0.0000  4 Br 2.57, 2 Se 2.65

Calculated values
Spin magnetization in μB/atom: 0.437
Formation energy without anion corrections in kJ per mole of atoms: 7
DOS(E_F) in states/eV per atom: 1.325
Volume in Å³ per atom: 27.9
Calculated density in Mg/m³: 3.935